A geometry-optimized LiCa6In5 structure, computed with PBE-GGA. Values from VASP.

Results
calculated volume: 345.13 Å³/cell
space group: No. 65
raw total energy: -32.6 eV/cell

Geometry as Quantum ESPRESSO input:
```
&SYSTEM
  ibrav = 0, nat = 12, ntyp = 3
/
ATOMIC_SPECIES
In 114.82 In.upf
Ca 40.08 Ca.upf
Li 6.94 Li.upf
CELL_PARAMETERS angstrom
5.154 -0.031 1.717
0.042 7.775 0.014
-0.007 -0.015 8.611
ATOMIC_POSITIONS angstrom
In 3.407 -0.031 6.958
In 1.731 3.872 3.465
In 0.021 3.887 0.007
In 1.740 -0.015 3.370
In 3.457 3.857 6.878
Ca 4.317 5.803 4.330
Ca 4.297 1.910 4.324
Ca 0.892 5.818 6.019
Ca 2.608 5.778 0.869
Ca 2.587 1.966 0.862
Ca 0.871 1.926 6.012
Li 0.000 0.000 0.000
```

---

A geometry-optimized LiCaIn structure, computed with PBE-GGA. Values from VASP.

Results
calculated volume: 457.49 Å³/cell
space group: No. 46
raw total energy: -45.1 eV/cell

Geometry as Quantum ESPRESSO input:
```
&SYSTEM
  ibrav = 0, nat = 18, ntyp = 3
/
ATOMIC_SPECIES
Ca 40.08 Ca.upf
In 114.82 In.upf
Li 6.94 Li.upf
CELL_PARAMETERS angstrom
-7.097 -0.256 -2.556
-1.471 -5.846 -6.474
-4.548 -7.259 2.209
ATOMIC_POSITIONS angstrom
Ca -5.310 -8.969 -5.841
Ca -8.232 -6.415 -6.461
Ca -9.770 -7.122 -2.120
Ca -6.845 -9.671 -1.498
Ca -7.293 -4.373 -0.795
Ca -5.751 -3.671 -5.136
In -6.533 -6.679 -3.401
In -7.119 -11.594 -4.406
In -4.108 -5.040 -2.278
In -3.850 -8.134 -2.685
In -0.839 -1.581 -0.557
In -3.524 -0.127 -1.269
Li -5.195 -2.336 -2.221
Li -8.204 -8.888 -4.353
Li -8.564 -4.604 -3.784
Li -5.596 -6.966 -0.615
Li -11.573 -11.156 -5.915
Li -4.057 -6.270 -4.958
```

---

A geometry-optimized Li2CaIn2 structure, computed with PBE-GGA. Values from VASP.

Results
calculated volume: 239.40 Å³/cell
space group: No. 127
offset from the most stable computed form: 0.25 eV per formula unit

Geometry as Quantum ESPRESSO input:
```
&SYSTEM
  ibrav = 0, nat = 10, ntyp = 3
/
ATOMIC_SPECIES
In 114.82 In.upf
Ca 40.08 Ca.upf
Li 6.94 Li.upf
CELL_PARAMETERS angstrom
8.378 0.000 0.000
0.000 8.378 0.000
0.000 0.000 3.411
ATOMIC_POSITIONS angstrom
In 7.306 5.260 0.000
In 3.117 7.306 0.000
In 5.260 1.072 0.000
In 1.072 3.117 0.000
Ca 4.189 4.189 0.000
Ca 0.000 0.000 0.000
Li 1.412 5.601 1.706
Li 6.966 2.777 1.706
Li 5.601 6.966 1.706
Li 2.777 1.412 1.706
```

---

A geometry-optimized LiCa2In structure, computed with PBE-GGA. Values from VASP.

Results
calculated volume: 126.09 Å³/cell
space group: No. 12
raw total energy: -9.1 eV/cell

Geometry as Quantum ESPRESSO input:
```
&SYSTEM
  ibrav = 0, nat = 4, ntyp = 3
/
ATOMIC_SPECIES
Li 6.94 Li.upf
In 114.82 In.upf
Ca 40.08 Ca.upf
CELL_PARAMETERS angstrom
-4.353 -2.061 -2.910
-3.183 -4.601 -0.605
-4.821 1.611 4.222
ATOMIC_POSITIONS angstrom
Li -3.089 -1.263 0.177
In -9.268 -3.788 0.530
Ca -4.818 1.541 4.143
Ca -6.182 -2.456 0.432
```

---

A geometry-optimized Li3CaIn4 structure, computed with PBE-GGA. Values from VASP.

Results
calculated volume: 354.96 Å³/cell
space group: No. 51
raw total energy: -42.3 eV/cell

Geometry as Quantum ESPRESSO input:
```
&SYSTEM
  ibrav = 0, nat = 16, ntyp = 3
/
ATOMIC_SPECIES
In 114.82 In.upf
Li 6.94 Li.upf
Ca 40.08 Ca.upf
CELL_PARAMETERS angstrom
-1.942 3.468 -2.656
-5.799 -4.774 -1.993
-5.039 2.966 7.557
ATOMIC_POSITIONS angstrom
In -7.726 0.475 -2.318
In -2.242 0.688 -1.765
In -4.762 2.171 2.014
In -5.499 -1.994 -2.884
In -8.312 -1.496 4.106
In -5.054 1.186 5.226
In -8.018 -0.510 0.894
In -4.468 3.157 -1.198
Li -2.520 1.483 3.779
Li -2.225 2.466 0.569
Li -4.756 3.968 4.332
Li -7.651 1.574 3.341
Li -5.129 0.086 -0.433
Li 0.000 0.000 0.000
Ca -5.419 -0.904 2.782
Ca -2.899 -2.387 -0.996
```

---

A geometry-optimized LiCaIn4 structure, computed with PBE-GGA. Values from VASP.

Results
calculated volume: 310.84 Å³/cell
space group: No. 63
raw total energy: -32.0 eV/cell

Geometry as Quantum ESPRESSO input:
```
&SYSTEM
  ibrav = 0, nat = 12, ntyp = 3
/
ATOMIC_SPECIES
Li 6.94 Li.upf
In 114.82 In.upf
Ca 40.08 Ca.upf
CELL_PARAMETERS angstrom
-4.107 -1.605 -2.348
4.402 -5.262 -4.103
0.929 -4.497 6.763
ATOMIC_POSITIONS angstrom
Li -1.718 -5.725 1.605
Li 2.943 -5.638 -1.293
In 1.406 -8.650 -1.860
In 1.065 -5.615 -3.338
In 0.000 0.000 0.000
In -0.166 -6.772 -0.395
In 2.201 -2.631 -2.052
In 1.390 -4.592 0.707
In 0.160 -5.748 3.650
In -0.181 -2.714 2.172
Ca -1.213 -3.343 -0.908
Ca 2.437 -8.021 1.220
```

---

A geometry-optimized LiCa2In structure, computed with PBE-GGA. Values from VASP.

Results
calculated volume: 252.68 Å³/cell
space group: No. 122
raw total energy: -17.2 eV/cell

Geometry as Quantum ESPRESSO input:
```
&SYSTEM
  ibrav = 0, nat = 8, ntyp = 3
/
ATOMIC_SPECIES
Ca 40.08 Ca.upf
Li 6.94 Li.upf
In 114.82 In.upf
CELL_PARAMETERS angstrom
-1.195 5.922 6.129
-8.511 -0.505 -1.171
-5.030 0.241 4.828
ATOMIC_POSITIONS angstrom
Ca -7.439 2.210 5.477
Ca -3.064 3.679 4.872
Ca -6.730 0.503 1.260
Ca -12.238 4.922 7.963
Li -9.197 1.222 3.068
Li -4.853 2.708 2.479
In -5.539 4.435 6.718
In 0.000 0.000 0.000
```

---

A geometry-optimized Li6Ca2In9 structure, computed with PBE-GGA. Values from VASP.

Results
calculated volume: 438.91 Å³/cell
space group: No. 191
raw total energy: -42.8 eV/cell

Geometry as Quantum ESPRESSO input:
```
&SYSTEM
  ibrav = 0, nat = 17, ntyp = 3
/
ATOMIC_SPECIES
In 114.82 In.upf
Li 6.94 Li.upf
Ca 40.08 Ca.upf
CELL_PARAMETERS angstrom
-0.860 -4.523 -3.935
-1.215 -0.826 5.876
-12.973 4.276 -2.081
ATOMIC_POSITIONS angstrom
In -2.851 0.327 2.578
In -6.916 -0.123 -3.008
In -3.281 -1.935 0.611
In -2.673 -1.522 -2.327
In -7.094 1.725 1.897
In -11.159 1.275 -3.689
In -11.337 3.124 1.216
In -11.767 0.863 -0.751
In -7.524 -0.536 -0.070
Li -1.096 -2.058 2.605
Li -5.475 -0.615 1.903
Li -5.357 -1.847 -1.367
Li -9.690 0.775 1.227
Li -0.978 -3.291 -0.665
Li -9.572 -0.458 -2.043
Ca -4.373 1.442 -0.702
Ca -8.600 2.835 -1.380
```

---

A geometry-optimized LiCa3In3 structure, computed with PBE-GGA. Values from VASP.

Results
calculated volume: 407.32 Å³/cell
space group: No. 12
raw total energy: -37.3 eV/cell

Geometry as Quantum ESPRESSO input:
```
&SYSTEM
  ibrav = 0, nat = 14, ntyp = 3
/
ATOMIC_SPECIES
Li 6.94 Li.upf
Ca 40.08 Ca.upf
In 114.82 In.upf
CELL_PARAMETERS angstrom
4.384 0.000 0.660
2.157 5.957 0.563
-0.106 0.075 15.584
ATOMIC_POSITIONS angstrom
Li 2.967 5.641 10.068
Li 3.469 0.391 6.740
Ca 4.784 4.484 12.891
Ca 2.254 1.864 14.803
Ca 4.182 4.168 2.004
Ca 3.482 4.016 6.653
Ca 1.652 1.547 3.917
Ca 2.954 2.016 10.154
In 2.234 5.186 14.938
In 1.138 1.679 7.327
In 4.202 0.846 1.870
In 0.427 1.117 12.051
In 6.009 4.915 4.756
In 5.298 4.352 9.481
```

---

A geometry-optimized Li2CaIn2 structure, computed with PBE-GGA. Values from VASP.

Results
calculated volume: 121.54 Å³/cell
space group: No. 65
offset from the most stable computed form: 0.49 eV per formula unit

Geometry as Quantum ESPRESSO input:
```
&SYSTEM
  ibrav = 0, nat = 5, ntyp = 3
/
ATOMIC_SPECIES
In 114.82 In.upf
Ca 40.08 Ca.upf
Li 6.94 Li.upf
CELL_PARAMETERS angstrom
4.327 0.080 0.001
-1.297 4.128 0.001
-0.001 -0.001 6.765
ATOMIC_POSITIONS angstrom
In 1.514 2.104 1.803
In 1.514 2.103 4.964
Ca 3.029 4.208 0.001
Li 3.355 0.778 3.383
Li -0.327 3.428 3.383
```

---

A geometry-optimized Li6Ca12In structure, computed with PBE-GGA. Values from VASP.

Results
calculated volume: 636.22 Å³/cell
space group: No. 204
raw total energy: -38.5 eV/cell

Geometry as Quantum ESPRESSO input:
```
&SYSTEM
  ibrav = 0, nat = 19, ntyp = 3
/
ATOMIC_SPECIES
Ca 40.08 Ca.upf
Li 6.94 Li.upf
In 114.82 In.upf
CELL_PARAMETERS angstrom
8.848 0.000 -3.128
-4.424 7.662 -3.128
0.000 0.000 9.384
ATOMIC_POSITIONS angstrom
Ca 0.401 3.568 -0.567
Ca 5.958 2.131 -2.561
Ca 2.364 6.968 -3.343
Ca 0.429 2.131 2.913
Ca 4.023 4.095 3.695
Ca 3.995 5.531 0.215
Ca 1.134 6.226 2.561
Ca -2.793 6.226 -0.215
Ca 2.060 0.694 6.471
Ca 3.290 1.437 0.567
Ca 7.217 1.437 3.343
Ca -1.535 5.531 5.690
Li 6.079 2.867 0.788
Li 3.326 3.831 -2.341
Li 3.867 0.965 3.916
Li -1.655 4.796 2.341
Li 0.557 6.698 -0.788
Li 1.098 3.831 5.469
In 0.000 0.000 0.000
```

---

What is the calculated volume in the fourth record? 126.09 Å³/cell